# 1
A relaxed structure of Np2Si3Pt. Source: the Alexandria database, functional GGA-PBE. Values from VASP.

The structure in Quantum ESPRESSO input format:
```
&SYSTEM
  ibrav = 0, nat = 12, ntyp = 3
/
ATOMIC_SPECIES
Np 237.00 Np.upf
Si 28.09 Si.upf
Pt 195.08 Pt.upf
ATOMIC_POSITIONS angstrom
Np 5.997 4.097 7.078
Np 1.993 2.049 3.539
Np 5.978 6.146 10.617
Np 1.973 4.097 7.078
Si 3.985 4.097 2.311
Si 3.985 2.027 5.915
Si 3.985 2.027 8.241
Si 3.985 6.168 5.915
Si 3.985 6.168 8.241
Si 3.985 4.097 11.844
Pt 3.985 4.097 4.705
Pt 3.985 4.097 9.450
CELL_PARAMETERS angstrom
0.000 4.097 7.078
3.985 0.000 7.078
3.985 4.097 0.000
```

Output
The space group is Fmmm, No. 69. For the uncorrected formation energy, the calculation gives -0.46 eV per atom. As for the raw total energy: -0.3121 hartree per atom. The distance to the lowest polymorph of the same formula comes out at 0.02 eV/f.u. The volume is 19.26 Å³/atom.

# 2
A relaxed structure of Cs2TaVPt. Source: the Alexandria database, functional GGA-PBE. Values from VASP.

The structure in Quantum ESPRESSO input format:
```
&SYSTEM
  ibrav = 0, nat = 5, ntyp = 4
/
ATOMIC_SPECIES
Cs 132.91 Cs.upf
Ta 180.95 Ta.upf
V 50.94 V.upf
Pt 195.08 Pt.upf
ATOMIC_POSITIONS angstrom
Cs 0.000 3.081 0.000
Cs 3.081 0.000 0.000
Ta 0.000 0.000 2.332
V 0.000 0.000 0.000
Pt 3.081 3.081 2.332
CELL_PARAMETERS angstrom
6.163 0.000 0.000
0.000 6.163 0.000
0.000 0.000 4.663
```

Output
The space group is P4/mmm, No. 123. As for the raw total energy: -0.1457 hartree per atom. For the energy relative to the elements, the calculation gives 1.78 eV per atom. The volume is 35.42 Å³/atom.

Which of these has the lowest volume? Np2Si3Pt

Look up the volume of the second one. 35.42 Å³/atom